Record 1
DFT (meta-GGA SCAN) results for a crystal of BaAlSi2 relaxed with PBEsol.

Cell lengths 3.0636, 5.6145, 5.6145 Å; angles 111.94, 90.00, 90.00 degrees
With the nearest neighbours (Å) after each atom.
Element x y z (fractional)
Si 0.0000 0.0000 0.5000  4 Si 3.06-3.14, 4 Al 3.20, 4 Ba 3.20
Al 0.5000 0.0000 0.0000  2 Al 3.06, 2 Ba 3.14, 8 Si 3.20
Ba 0.5000 0.5000 0.5000  2 Ba 3.06, 2 Al 3.14, 8 Si 3.20
Si 0.0000 0.5000 0.0000  4 Si 3.06-3.14, 4 Ba 3.20, 4 Al 3.20

Values from the calculation:
- E_tot: -16.305 eV per atom
- Size of the total moment: 0.0 Bohr magnetons per cell

Record 2
DFT (meta-GGA SCAN) results for a crystal of Ba2AlSi relaxed with PBEsol.

Cell lengths 4.2789, 4.9699, 6.7290 Å; angles 111.67, 90.00, 90.00 degrees
With the nearest neighbours (Å) after each atom.
Element x y z (fractional)
Ba 0.5000 0.2658 0.5315  4 Si 3.44, 3 Al 3.47-3.83
Si 0.0000 0.6837 0.3674  2 Al 2.55
Al 0.5000 0.5722 0.1443  2 Si 2.55
Ba 0.0000 0.9787 0.9575  4 Al 3.48, 3 Si 3.57-3.69

Values from the calculation:
- E_tot: -24.562 eV per atom
- Size of the total moment: 0.6 Bohr magnetons per cell

Which formula does entry 2 have?
Ba2AlSi

The lowest size of the total moment belongs to which entry?
BaAlSi2